# 1
First-principles (PBEsol) data for a relaxed TiZn2RuPt crystal, as listed in the Alexandria database.

Magnetic moment (μB per formula unit): 0.0
Energy of formation (eV per atom): 1.166

abc: 4.6317 4.6317 4.2301
angles: 90.00 90.00 90.00
Last column: nearest neighbours and their distance in Å.
Space group P4/mmm (No. 123)
Symmetry-distinct sites (fractional):
Ti (0.0000, 0.0000, 0.0000) [1 per cell]  2 Ru 2.12, 4 Zn 2.32
Zn (0.0000, 0.5000, 0.0000) [2 per cell]  2 Ti 2.32
Ru (0.0000, 0.0000, 0.5000) [1 per cell]  2 Ti 2.12
Pt (0.5000, 0.5000, 0.5000) [1 per cell]  8 Zn 3.14, 4 Ru 3.28

# 2
First-principles (PBEsol) data for a relaxed Tl2RuPt crystal, as listed in the Alexandria database.

Magnetic moment (μB per formula unit): 0.0
Distance to the lowest polymorph of the same formula (meV per atom): 0.0
Energy of formation (eV per atom): 0.349

abc: 3.3468 3.3468 6.3349
angles: 90.00 90.00 90.00
Last column: nearest neighbours and their distance in Å.
Space group P4/mmm (No. 123)
Symmetry-distinct sites (fractional):
Tl (0.0000, 0.0000, 0.2443) [2 per cell]  4 Ru 2.83, 4 Pt 2.87, 1 Tl 3.10
Ru (0.5000, 0.5000, 0.0000) [1 per cell]  8 Tl 2.83
Pt (0.5000, 0.5000, 0.5000) [1 per cell]  8 Tl 2.87, 2 Ru 3.17

# 3
First-principles (PBEsol) data for a relaxed Tl2RuPt crystal, as listed in the Alexandria database.

Magnetic moment (μB per formula unit): 0.0
Distance to the lowest polymorph of the same formula (meV per atom): 44.1
Energy of formation (eV per atom): 0.393

abc: 3.1372 3.1372 8.0516
angles: 90.00 90.00 90.00
Last column: nearest neighbours and their distance in Å.
Space group P4mm (No. 99)
Symmetry-distinct sites (fractional):
Tl (0.0000, 0.0000, 0.0000) [1 per cell]  4 Ru 2.95, 4 Tl 3.14, 1 Pt 3.28
Tl (0.5000, 0.5000, 0.3342) [1 per cell]  4 Pt 3.04, 4 Tl 3.14
Ru (0.5000, 0.5000, 0.7592) [1 per cell]  4 Pt 2.59
Pt (0.0000, 0.0000, 0.5928) [1 per cell]  4 Ru 2.59

# 4
First-principles (PBEsol) data for a relaxed Tl2RuPt crystal, as listed in the Alexandria database.

Magnetic moment (μB per formula unit): 0.6
Distance to the lowest polymorph of the same formula (meV per atom): 286.0
Energy of formation (eV per atom): 0.635

abc: 6.6470 6.6470 6.6470
angles: 90.00 90.00 90.00
Last column: nearest neighbours and their distance in Å.
Space group F-43m (No. 216)
Symmetry-distinct sites (fractional):
Tl (0.0000, 0.0000, 0.0000) [4 per cell]  4 Tl 2.88, 4 Pt 2.88
Tl (0.2500, 0.2500, 0.2500) [4 per cell]  4 Tl 2.88, 4 Ru 2.88
Ru (0.0000, 0.0000, 0.5000) [4 per cell]  4 Tl 2.88, 4 Pt 2.88
Pt (0.2500, 0.2500, 0.7500) [4 per cell]  4 Tl 2.88, 4 Ru 2.88

# 5
First-principles (PBEsol) data for a relaxed Tl2RuPt crystal, as listed in the Alexandria database.

Magnetic moment (μB per formula unit): 0.0
Distance to the lowest polymorph of the same formula (meV per atom): 87.7
Energy of formation (eV per atom): 0.437

abc: 8.6754 3.2679 5.3325
angles: 90.00 103.68 90.00
Last column: nearest neighbours and their distance in Å.
Space group C2/m (No. 12)
Symmetry-distinct sites (fractional):
Tl (0.2486, 0.0000, 0.2460) [4 per cell]  3 Ru 2.78-2.80, 3 Pt 2.80-2.81, 2 Tl 3.10
Ru (0.0000, 0.5000, 0.0000) [2 per cell]  6 Tl 2.78-2.80
Pt (0.0000, 0.0000, 0.5000) [2 per cell]  6 Tl 2.80-2.81, 4 Ru 3.13

# 6
First-principles (PBEsol) data for a relaxed Tl2RuPt crystal, as listed in the Alexandria database.

Magnetic moment (μB per formula unit): 0.1
Distance to the lowest polymorph of the same formula (meV per atom): 122.5
Energy of formation (eV per atom): 0.471

abc: 3.0592 4.2145 5.7213
angles: 90.00 90.00 90.00
Last column: nearest neighbours and their distance in Å.
Space group Pmm2 (No. 25)
Symmetry-distinct sites (fractional):
Tl (0.0000, 0.0000, 0.0000) [1 per cell]  1 Pt 2.69, 4 Ru 2.77
Tl (0.5000, 0.5000, 0.3410) [1 per cell]  2 Ru 2.81-2.91, 4 Pt 2.82, 2 Tl 3.06
Ru (0.5000, 0.5000, 0.8326) [1 per cell]  6 Tl 2.77-2.91, 2 Ru 3.06
Pt (0.0000, 0.0000, 0.5291) [1 per cell]  5 Tl 2.69-2.82

# 7
First-principles (PBEsol) data for a relaxed TlRu3Pt crystal, as listed in the Alexandria database.

Magnetic moment (μB per formula unit): 5.9
Energy of formation (eV per atom): 2.798

abc: 4.8119 4.8119 4.8119
angles: 90.00 90.00 90.00
Last column: nearest neighbours and their distance in Å.
Space group Pm-3m (No. 221)
Symmetry-distinct sites (fractional):
Tl (0.0000, 0.0000, 0.0000) [1 per cell]  6 Ru 2.41
Ru (0.0000, 0.0000, 0.5000) [3 per cell]  2 Tl 2.41
Pt (0.5000, 0.5000, 0.5000) [1 per cell]  12 Ru 3.40

# 8
First-principles (PBEsol) data for a relaxed Ru3PtW crystal, as listed in the Alexandria database.

Magnetic moment (μB per formula unit): 0.0
Energy of formation (eV per atom): 2.541

abc: 4.5607 4.5607 4.5607
angles: 90.00 90.00 90.00
Last column: nearest neighbours and their distance in Å.
Space group Pm-3m (No. 221)
Symmetry-distinct sites (fractional):
Ru (0.0000, 0.0000, 0.5000) [3 per cell]  2 Pt 2.28
Pt (0.0000, 0.0000, 0.0000) [1 per cell]  6 Ru 2.28
W (0.5000, 0.5000, 0.5000) [1 per cell]  12 Ru 3.22